Entry 1:
# Pm3Nd4Sm5

A relaxed structure of Pm3Nd4Sm5 (PBE, Alexandria).

Results
* DFT total energy: -4.731 eV/atom
* calculated volume: 34.44 Å³ per atom
* formation energy: 14.2 kJ/mol of formula units
* energy relative to the lowest polymorph listed for this composition: 0.000 eV per atom
* DOS(E_F): 17.6 states/eV/cell

Cell lengths 7.2959, 11.5493, 13.1750 Å; angles 151.30, 56.39, 129.18 degrees
Closest atoms and distances in Å follow each position.
Fractional coordinates of all 12 atoms:
Nd 0.8326 0.6654 0.8330  5 Sm 3.64-3.65, 3 Pm 3.65-3.67, 4 Nd 3.65-3.67
Sm 0.3329 0.6662 0.8337  3 Sm 3.64-3.66, 4 Pm 3.64-3.67, 5 Nd 3.65-3.66
Nd 0.9162 0.8340 0.6667  4 Pm 3.64-3.66, 5 Sm 3.65-3.66, 3 Nd 3.65-3.67
Pm 0.4180 0.8345 0.6670  6 Nd 3.64-3.67, 5 Sm 3.64-3.67, 1 Pm 3.65
Pm 0.5820 0.1655 0.3330  6 Nd 3.64-3.67, 5 Sm 3.64-3.67, 1 Pm 3.65
Sm 0.7506 0.4997 0.9998  6 Sm 3.64-3.66, 3 Pm 3.64-3.65, 3 Nd 3.65
Sm 0.5000 0.0000 0.5000  4 Nd 3.64-3.65, 4 Pm 3.65, 4 Sm 3.65-3.66
Sm 0.6671 0.3338 0.1663  3 Sm 3.64-3.66, 4 Pm 3.64-3.67, 5 Nd 3.65-3.66
Pm 0.0000 0.0000 0.5000  2 Nd 3.65, 8 Sm 3.65, 2 Pm 3.65
Sm 0.2494 0.5003 0.0002  6 Sm 3.64-3.66, 3 Pm 3.64-3.65, 3 Nd 3.65
Nd 0.0838 0.1660 0.3333  4 Pm 3.64-3.66, 5 Sm 3.65-3.66, 3 Nd 3.65-3.67
Nd 0.1674 0.3346 0.1670  5 Sm 3.64-3.65, 3 Pm 3.65-3.67, 4 Nd 3.65-3.67


Entry 2:
# Ac3TbY3S8

A relaxed structure of Ac3TbY3S8 (PBE, Alexandria).

Results
* DFT total energy: -6.664 eV/atom
* calculated volume: 25.80 Å³ per atom
* formation energy without anion corrections: -30.59 eV per formula unit
* DOS(E_F): 7.3 states/eV/cell

Cell lengths 8.0477, 8.0480, 8.3175 Å; angles 118.93, 90.00, 120.00 degrees
Closest atoms and distances in Å follow each position.
Fractional coordinates of all 15 atoms:
S 0.7575 0.5150 0.2762  2 Y 2.78, 1 Tb 2.80, 2 Ac 3.01
S 0.2425 0.9813 0.7238  2 Y 2.78, 1 Tb 2.80, 2 Ac 3.01
Ac 0.5000 0.5000 0.0000  6 S 3.01-3.02
Y 0.5000 0.0000 0.5000  6 S 2.78
S 0.7388 0.9813 0.7238  2 Y 2.78, 1 Tb 2.80, 2 Ac 3.01
S 0.7403 0.4806 0.7208  3 Y 2.78, 3 Ac 3.02
S 0.2597 0.5194 0.2792  3 Y 2.78, 3 Ac 3.02
Tb 0.0000 0.0000 0.5000  6 S 2.80
S 0.2612 0.0187 0.2762  2 Y 2.78, 1 Tb 2.80, 2 Ac 3.01
Y 0.5000 0.5000 0.5000  6 S 2.78
Ac 0.0000 0.5000 0.0000  6 S 3.01-3.02
S 0.2425 0.4850 0.7238  2 Y 2.78, 1 Tb 2.80, 2 Ac 3.01
Y 0.0000 0.5000 0.5000  6 S 2.78
S 0.7575 0.0187 0.2762  2 Y 2.78, 1 Tb 2.80, 2 Ac 3.01
Ac 0.0000 0.0000 0.0000  6 S 3.01-3.02


Entry 3:
# LiMg4Zr

A relaxed structure of LiMg4Zr (PBE, Alexandria).

Results
* DFT total energy: -2.591 eV/atom
* calculated volume: 22.92 Å³ per atom
* formation energy: 125.1 kJ/mol of formula units
* energy relative to the lowest polymorph listed for this composition: 0.227 eV per atom
* DOS(E_F): 5.2 states/eV/cell

Cell lengths 5.7939, 5.7939, 5.7939 Å; angles 60.00, 60.00, 60.00 degrees
Closest atoms and distances in Å follow each position.
Fractional coordinates of all 6 atoms:
Zr 0.7500 0.7500 0.7500  12 Mg 3.39, 4 Li 3.55
Mg 0.8720 0.3760 0.3760  6 Mg 2.87-2.92
Li 0.0000 0.0000 0.0000  12 Mg 3.40, 4 Zr 3.55
Mg 0.3760 0.8720 0.3760  6 Mg 2.87-2.92
Mg 0.3760 0.3760 0.3760  6 Mg 2.87-2.92
Mg 0.3760 0.3760 0.8720  6 Mg 2.87-2.92


Entry 4:
# Ce4DyGa5

A relaxed structure of Ce4DyGa5 (PBE, Alexandria).

Results
* DFT total energy: -4.854 eV/atom
* calculated volume: 22.90 Å³ per atom
* formation energy: -489.2 kJ/mol of formula units
* DOS(E_F): 13.3 states/eV/cell

Cell lengths 3.3140, 3.3140, 20.8561 Å; angles 90.00, 90.00, 90.00 degrees
Closest atoms and distances in Å follow each position.
Fractional coordinates of all 10 atoms:
Ce 0.0000 0.0000 0.8042  8 Ga 3.14-3.16, 4 Ce 3.31
Ga 0.5000 0.5000 0.2973  8 Ce 3.16, 4 Ga 3.31
Ga 0.5000 0.5000 0.7027  8 Ce 3.16, 4 Ga 3.31
Ce 0.0000 0.0000 0.1958  8 Ga 3.14-3.16, 4 Ce 3.31
Ga 0.5000 0.5000 0.0958  4 Dy 3.08, 4 Ce 3.14, 4 Ga 3.31
Ga 0.5000 0.5000 0.5000  8 Ce 3.15, 4 Ga 3.31
Ga 0.5000 0.5000 0.9042  4 Dy 3.08, 4 Ce 3.14, 4 Ga 3.31
Dy 0.0000 0.0000 0.0000  8 Ga 3.08, 4 Dy 3.31
Ce 0.0000 0.0000 0.6012  8 Ga 3.15-3.16, 4 Ce 3.31
Ce 0.0000 0.0000 0.3988  8 Ga 3.15-3.16, 4 Ce 3.31


Which value of DFT total energy does entry 3 give?
-2.591 eV/atom


What is the DOS(E_F) in the second record?
7.3 states/eV/cell


What is the DOS(E_F) in the second record?
7.3 states/eV/cell